# Ba2WC4O8 | Alexandria | PBE+U | relaxed
data_Ba2WC4O8
_chemical_formula_sum 'Ba4 W2 C8 O16'
_cell_length_a 6.045
_cell_length_b 8.810
_cell_length_c 9.948
_cell_angle_alpha 63.89
_cell_angle_beta 83.96
_cell_angle_gamma 83.51
_symmetry_space_group_name_H-M 'P -1'
_symmetry_Int_Tables_number 2
loop_
_symmetry_equiv_pos_as_xyz
'x,y,z'
'-x,-y,-z'
loop_
_atom_site_label
_atom_site_type_symbol
_atom_site_fract_x
_atom_site_fract_y
_atom_site_fract_z
_atom_site_occupancy
Ba1 Ba 0.217 0.135 0.058 1
Ba2 Ba 0.278 0.531 0.289 1
W1 W 0.159 0.864 0.483 1
C1 C 0.155 0.220 0.679 1
C2 C 0.182 0.586 0.840 1
C3 C 0.330 0.689 0.882 1
C4 C 0.397 0.214 0.675 1
O1 O 0.024 0.368 0.171 1
O2 O 0.038 0.154 0.806 1
O3 O 0.046 0.305 0.552 1
O4 O 0.246 0.745 0.976 1
O5 O 0.278 0.461 0.819 1
O6 O 0.473 0.294 0.177 1
O7 O 0.484 0.712 0.455 1
O8 O 0.495 0.146 0.801 1
# M_tot   5.0 μB per formula unit
# Raw total energy   -109.1 eV per formula unit